1.
# La2CuH (GGA-PBEsol, relaxed)
data_La2CuH
_symmetry_space_group_name_H-M 'F m -3 m'
_symmetry_Int_Tables_number 225
_symmetry_space_group_name_Hall '-F 4 2 3'
_cell_length_a 6.9159
_cell_length_b 6.9159
_cell_length_c 6.9159
_cell_angle_alpha 90.00
_cell_angle_beta 90.00
_cell_angle_gamma 90.00
loop_
_atom_site_label
_atom_site_fract_x
_atom_site_fract_y
_atom_site_fract_z
La1 0.2500 0.2500 0.2500
Cu1 0.0000 0.0000 0.0000
H1 0.0000 0.0000 0.5000
# total moment	0.001	μB per atom
# density of states at the Fermi level	22.947	states/eV/cell
# calculated total energy	-4.56	eV per atom
# mass density	6875	kg/m³

=====

2.
# La2CuH2 (GGA-PBEsol, relaxed)
data_La2CuH2
_symmetry_space_group_name_H-M 'I 4/m m m'
_symmetry_Int_Tables_number 139
_symmetry_space_group_name_Hall '-I 4 2'
_cell_length_a 3.7155
_cell_length_b 3.7155
_cell_length_c 13.0228
_cell_angle_alpha 90.00
_cell_angle_beta 90.00
_cell_angle_gamma 90.00
loop_
_atom_site_label
_atom_site_fract_x
_atom_site_fract_y
_atom_site_fract_z
La1 0.0000 0.0000 0.1381
Cu1 0.0000 0.0000 0.5000
H1 0.0000 0.5000 0.2500
# total moment	0.000	μB per atom
# density of states at the Fermi level	6.817	states/eV/cell
# calculated total energy	-4.68	eV per atom
# mass density	6343	kg/m³

=====

3.
# LaNb2CuH (GGA-PBEsol, relaxed)
data_LaNb2CuH
_symmetry_space_group_name_H-M 'P 4/m m m'
_symmetry_Int_Tables_number 123
_symmetry_space_group_name_Hall '-P 4 2'
_cell_length_a 5.0316
_cell_length_b 5.0316
_cell_length_c 3.5293
_cell_angle_alpha 90.00
_cell_angle_beta 90.00
_cell_angle_gamma 90.00
loop_
_atom_site_label
_atom_site_fract_x
_atom_site_fract_y
_atom_site_fract_z
La1 0.0000 0.0000 0.0000
Nb1 0.0000 0.5000 0.0000
Cu1 0.5000 0.5000 0.5000
H1 0.0000 0.0000 0.5000
# total moment	0.000	μB per atom
# density of states at the Fermi level	6.871	states/eV/cell
# calculated total energy	-5.28	eV per atom
# mass density	7234	kg/m³

=====

- total moment of number 3 (LaNb2CuH)?
  0.000 μB per atom